The following is a DFT calculation (GGA-PBE) of an optimized crystal structure of CaCeReN4.

The structure in CIF format:
```
data_CaCeReN4
_chemical_formula_sum 'Ca4 Ce4 Re4 N16'
_cell_length_a 5.494
_cell_length_b 12.487
_cell_length_c 5.442
_cell_angle_alpha 90.00
_cell_angle_beta 90.00
_cell_angle_gamma 90.00
_symmetry_space_group_name_H-M 'C m c m'
_symmetry_Int_Tables_number 63
_symmetry_space_group_name_Hall '-C 2c 2'
loop_
_atom_site_label
_atom_site_type_symbol
_atom_site_fract_x
_atom_site_fract_y
_atom_site_fract_z
Ca1 Ca 0.000 0.105 0.250
Ce1 Ce 0.000 0.400 0.250
Re1 Re 0.000 0.233 0.750
N1 N 0.000 0.082 0.750
N2 N 0.000 0.429 0.750
N3 N 0.250 0.250 0.000
```

Summary:
* uncorrected energy: -8.468 eV/atom
* N(E_F): 0.512 states/eV per atom
* crystal system: orthorhombic